--- i ---
This record from Alexandria via LeMat-Bulk describes crystalline K2HfOs at its relaxed geometry. The functional is GGA-PBE.

Structure (CIF):
```
data_K2HfOs
_cell_length_a 7.4713
_cell_length_b 7.4713
_cell_length_c 7.4713
_cell_angle_alpha 90.00
_cell_angle_beta 90.00
_cell_angle_gamma 90.00
_symmetry_space_group_name_H-M 'F m -3 m'
_symmetry_Int_Tables_number 225
_symmetry_space_group_name_Hall '-F 4 2 3'
loop_
_atom_site_label
_atom_site_type_symbol
_atom_site_fract_x
_atom_site_fract_y
_atom_site_fract_z
K1 K 0.2500 0.2500 0.2500
Hf1 Hf 0.0000 0.0000 0.0000
Os1 Os 0.0000 0.0000 0.5000
```

Values from the calculation:
volume	26.07	Å³ per atom

--- ii ---
This record from Alexandria via LeMat-Bulk describes crystalline K2HfOs at its relaxed geometry. The functional is GGA-PBE.

Structure (CIF):
```
data_K2HfOs
_cell_length_a 12.1930
_cell_length_b 12.1930
_cell_length_c 4.8469
_cell_angle_alpha 90.00
_cell_angle_beta 90.00
_cell_angle_gamma 90.00
_symmetry_space_group_name_H-M 'I -4 2 d'
_symmetry_Int_Tables_number 122
_symmetry_space_group_name_Hall 'I -4 2bw'
loop_
_atom_site_label
_atom_site_type_symbol
_atom_site_fract_x
_atom_site_fract_y
_atom_site_fract_z
K1 K 0.1012 0.2500 0.1250
Hf1 Hf 0.0000 0.0000 0.5000
Os1 Os 0.0000 0.0000 0.0000
```

Values from the calculation:
volume	45.04	Å³ per atom

Which structure is most stable? ii, by 895 meV/atom over the runner-up.

--- i ---
This record from Alexandria via LeMat-Bulk describes crystalline KHfOs3 at its relaxed geometry. The functional is GGA-PBE.

Structure (CIF):
```
data_KHfOs3
_cell_length_a 4.5375
_cell_length_b 4.5375
_cell_length_c 4.5375
_cell_angle_alpha 90.00
_cell_angle_beta 90.00
_cell_angle_gamma 90.00
_symmetry_space_group_name_H-M 'P m -3 m'
_symmetry_Int_Tables_number 221
_symmetry_space_group_name_Hall '-P 4 2 3'
loop_
_atom_site_label
_atom_site_type_symbol
_atom_site_fract_x
_atom_site_fract_y
_atom_site_fract_z
K1 K 0.0000 0.0000 0.0000
Hf1 Hf 0.5000 0.5000 0.5000
Os1 Os 0.0000 0.0000 0.5000
```

Values from the calculation:
volume	18.68	Å³ per atom

--- ii ---
This record from Alexandria via LeMat-Bulk describes crystalline KHfOs3 at its relaxed geometry. The functional is GGA-PBE.

Structure (CIF):
```
data_KHfOs3
_cell_length_a 4.9664
_cell_length_b 4.9664
_cell_length_c 4.9664
_cell_angle_alpha 90.00
_cell_angle_beta 90.00
_cell_angle_gamma 90.00
_symmetry_space_group_name_H-M 'P m -3 m'
_symmetry_Int_Tables_number 221
_symmetry_space_group_name_Hall '-P 4 2 3'
loop_
_atom_site_label
_atom_site_type_symbol
_atom_site_fract_x
_atom_site_fract_y
_atom_site_fract_z
K1 K 0.0000 0.0000 0.0000
Hf1 Hf 0.5000 0.5000 0.5000
Os1 Os 0.0000 0.5000 0.5000
```

Values from the calculation:
volume	24.50	Å³ per atom

Which structure is most stable? ii, by 914 meV/atom over the runner-up.